Record 1
PmThTlOs | PBE | optimized geometry

Calculated values
As for the energy relative to the elements: -0.177 eV/atom. As for the total DFT energy (no corrections): -53.0 eV per cell.

Lattice parameters (Å, degrees): 7.1849 4.1450 8.4118 90.00 106.61 90.00
Closest atoms and distances in Å follow each position.
Space group Cm (No. 8)
Asymmetric unit:
1 Pm 0.0000 0.0000 0.0000 (multiplicity 2)  3 Os 2.89
2 Th 0.2087 0.0000 0.6262 (multiplicity 2)  3 Os 2.77-2.78
3 Tl 0.2697 0.5000 0.3082 (multiplicity 2)  3 Pm 3.45, 3 Th 3.50-3.51
4 Os 0.0998 0.5000 0.8001 (multiplicity 2)  3 Th 2.77-2.78, 3 Pm 2.89



Record 2
PmThTlOs | PBE | optimized geometry

Calculated values
As for the energy relative to the elements: -0.003 eV/atom. As for the total DFT energy (no corrections): -103.1 eV per cell.

Lattice parameters (Å, degrees): 7.4033 7.4033 7.4033 90.00 90.00 90.00
Closest atoms and distances in Å follow each position.
Space group F-43m (No. 216)
Asymmetric unit:
1 Pm 0.0000 0.0000 0.0000 (multiplicity 4)  4 Tl 3.21, 4 Os 3.21
2 Th 0.0000 0.0000 0.5000 (multiplicity 4)  4 Os 3.21, 4 Tl 3.21
3 Tl 0.2500 0.2500 0.7500 (multiplicity 4)  4 Th 3.21, 4 Pm 3.21
4 Os 0.2500 0.2500 0.2500 (multiplicity 4)  4 Th 3.21, 4 Pm 3.21



Record 3
PmThZnOs | PBE | optimized geometry

Calculated values
As for the energy relative to the elements: -0.182 eV/atom. As for the total DFT energy (no corrections): -101.6 eV per cell.

Lattice parameters (Å, degrees): 7.1802 7.1802 7.1802 90.00 90.00 90.00
Closest atoms and distances in Å follow each position.
Space group F-43m (No. 216)
Asymmetric unit:
1 Pm 0.0000 0.0000 0.0000 (multiplicity 4)  4 Zn 3.11, 4 Os 3.11
2 Th 0.0000 0.0000 0.5000 (multiplicity 4)  4 Os 3.11, 4 Zn 3.11
3 Zn 0.2500 0.2500 0.2500 (multiplicity 4)  4 Th 3.11, 4 Pm 3.11
4 Os 0.2500 0.2500 0.7500 (multiplicity 4)  4 Pm 3.11, 4 Th 3.11



Record 4
Pm5TlOs2 | PBE | optimized geometry

Calculated values
As for the energy relative to the elements: -0.215 eV/atom. As for the total DFT energy (no corrections): -201.2 eV per cell.

Lattice parameters (Å, degrees): 7.8387 7.8387 14.5975 90.00 90.00 90.00
Closest atoms and distances in Å follow each position.
Space group I4/mcm (No. 140)
Asymmetric unit:
1 Pm 0.0000 0.0000 0.0000 (multiplicity 4)  4 Os 3.14, 8 Pm 3.47
2 Pm 0.1766 0.3234 0.1318 (multiplicity 16)  3 Os 2.99-3.03
3 Tl 0.0000 0.0000 0.2500 (multiplicity 4)  10 Pm 3.36-3.65
4 Os 0.1166 0.3834 0.5000 (multiplicity 8)  1 Os 2.59



Record 5
Pm5Tl2Os2 | PBE | optimized geometry

Calculated values
As for the energy relative to the elements: -0.220 eV/atom. As for the total DFT energy (no corrections): -211.7 eV per cell.

Lattice parameters (Å, degrees): 16.7335 7.6563 7.8700 90.00 90.00 90.00
Closest atoms and distances in Å follow each position.
Space group Cmce (No. 64)
Asymmetric unit:
1 Pm 0.0000 0.0000 0.0000 (multiplicity 4)  4 Os 3.12-3.13, 4 Pm 3.45
2 Pm 0.1187 0.1814 0.3200 (multiplicity 16)  3 Os 3.00-3.13, 2 Tl 3.31-3.32
3 Tl 0.2226 0.0000 0.0000 (multiplicity 8)  6 Pm 3.31-3.36
4 Os 0.0000 0.1100 0.6188 (multiplicity 8)  1 Os 2.52



Record 6
Pm6TlOs | PBE | optimized geometry

Calculated values
As for the energy relative to the elements: 0.016 eV/atom. As for the total DFT energy (no corrections): -83.9 eV per cell.

Lattice parameters (Å, degrees): 8.0489 10.4936 6.6564 90.00 104.88 90.00
Closest atoms and distances in Å follow each position.
Space group C2/m (No. 12)
Asymmetric unit:
1 Pm 0.1291 0.1841 0.2861 (multiplicity 8)  1 Os 2.72
2 Pm 0.2172 0.5000 0.1519 (multiplicity 4)  1 Os 2.72
3 Tl 0.0000 0.5000 0.5000 (multiplicity 2)  6 Pm 3.24-3.53
4 Os 0.0000 0.0000 0.0000 (multiplicity 2)  6 Pm 2.72